(1)
HoScSb | GGA-PBE | optimized geometry

Unit cell a=6.9512 b=6.9512 c=6.9512 alpha=90.00 beta=90.00 gamma=90.00
Closest atoms and distances in Å follow each position.
Space group F-43m (No. 216)
Asymmetric unit:
Ho (0.0000, 0.0000, 0.0000) x4  4 Sb 3.01
Sc (0.0000, 0.0000, 0.5000) x4  4 Sb 3.01
Sb (0.2500, 0.2500, 0.2500) x4  4 Sc 3.01, 4 Ho 3.01

final energy: -5.50 eV per atom



(2)
Sr2Zr2Sb2OF2 | GGA-PBE | optimized geometry

Unit cell a=4.3461 b=4.3461 c=20.2043 alpha=90.00 beta=90.00 gamma=90.00
Closest atoms and distances in Å follow each position.
Space group I4/mmm (No. 139)
Asymmetric unit:
Sr (0.0000, 0.0000, 0.1864) x4  4 F 2.52
Zr (0.0000, 0.5000, 0.0000) x4  2 O 2.17
Sb (0.0000, 0.0000, 0.3961) x4  4 Zr 3.02
O (0.0000, 0.0000, 0.0000) x2  4 Zr 2.17
F (0.0000, 0.5000, 0.2500) x4  4 Sr 2.52

final energy: -6.43 eV per atom



(3)
Na6PdPt | GGA-PBE | optimized geometry

Unit cell a=4.9092 b=4.9092 c=6.9357 alpha=90.00 beta=90.00 gamma=90.00
Closest atoms and distances in Å follow each position.
Space group P4/mmm (No. 123)
Asymmetric unit:
Na (0.0000, 0.0000, 0.0000) x1  8 Na 3.00
Na (0.0000, 0.5000, 0.2475) x4  4 Na 3.00-3.02, 2 Pt 3.00, 2 Pd 3.02
Na (0.5000, 0.5000, 0.5000) x1  8 Na 3.02
Pd (0.0000, 0.0000, 0.5000) x1  8 Na 3.02
Pt (0.5000, 0.5000, 0.0000) x1  8 Na 3.00

final energy: -2.42 eV per atom



(4)
CdSnSeO | GGA-PBE | optimized geometry

Unit cell a=6.2191 b=3.9739 c=14.6585 alpha=90.00 beta=90.00 gamma=90.00
Closest atoms and distances in Å follow each position.
Space group Pnma (No. 62)
Asymmetric unit:
Cd (0.1356, 0.2500, 0.1921) x4  2 O 2.20-2.27
Sn (0.2390, 0.7500, 0.4117) x4  2 O 2.33
Se (0.2154, 0.2500, 0.5903) x4  2 Cd 2.65, 1 Sn 2.83
O (0.2262, 0.7500, 0.8306) x4  2 Cd 2.20-2.27, 2 Sn 2.33

relative energy among the computed polymorphs: 26 kJ/mol of formula units
final energy: -4.07 eV per atom



(5)
NaGaIr | GGA-PBE | optimized geometry

Unit cell a=6.1159 b=6.1159 c=6.1159 alpha=90.00 beta=90.00 gamma=90.00
Closest atoms and distances in Å follow each position.
Space group F-43m (No. 216)
Asymmetric unit:
Na (0.0000, 0.0000, 0.0000) x4  4 Ga 2.65, 4 Ir 2.65
Ga (0.2500, 0.2500, 0.7500) x4  4 Na 2.65
Ir (0.2500, 0.2500, 0.2500) x4  4 Na 2.65

relative energy among the computed polymorphs: 221 kJ/mol of formula units
final energy: -3.41 eV per atom



(6)
Li4AlCd2In | GGA-PBE | optimized geometry

Unit cell a=4.6166 b=4.6166 c=6.5247 alpha=90.00 beta=90.00 gamma=90.00
Closest atoms and distances in Å follow each position.
Space group P-4m2 (No. 115)
Asymmetric unit:
Li (0.0000, 0.0000, 0.0000) x1  4 Li 2.85, 4 Cd 2.89
Li (0.0000, 0.5000, 0.7439) x2  4 Li 2.80-2.85, 2 Al 2.80, 2 In 2.85, 1 Cd 3.11
Li (0.5000, 0.5000, 0.5000) x1  4 Cd 2.76, 4 Li 2.80
Al (0.0000, 0.0000, 0.5000) x1  4 Cd 2.76, 4 Li 2.80
Cd (0.0000, 0.5000, 0.2671) x2  4 Li 2.76-2.89, 2 Al 2.76, 2 In 2.89
In (0.5000, 0.5000, 0.0000) x1  4 Li 2.85, 4 Cd 2.89

final energy: -2.24 eV per atom



(7)
HfScN2 | GGA-PBE | optimized geometry

Unit cell a=3.1883 b=3.1883 c=4.4875 alpha=90.00 beta=90.00 gamma=90.00
Closest atoms and distances in Å follow each position.
Space group P4/mmm (No. 123)
Asymmetric unit:
Hf (0.0000, 0.0000, 0.0000) x1  6 N 2.24-2.25
Sc (0.5000, 0.5000, 0.5000) x1  6 N 2.24-2.25
N (0.0000, 0.0000, 0.5000) x1  2 Hf 2.24, 4 Sc 2.25
N (0.5000, 0.5000, 0.0000) x1  2 Sc 2.24, 4 Hf 2.25

final energy: -10.15 eV per atom



(8)
Hf4Ge3W2N3 | GGA-PBE | optimized geometry

Unit cell a=9.8116 b=5.6433 c=13.0295 alpha=90.00 beta=104.46 gamma=90.00
Closest atoms and distances in Å follow each position.
Space group C2/c (No. 15)
Asymmetric unit:
Hf (0.1152, 0.0917, 0.0962) x8  3 N 2.20-2.24
Hf (0.2213, 0.0779, 0.4032) x8  3 N 2.20-2.23
Ge (0.0000, 0.1192, 0.7500) x4  2 W 2.71, 4 Hf 2.79-2.80, 2 Ge 2.91
Ge (0.1493, 0.4340, 0.2517) x8  2 W 2.66-2.70, 4 Hf 2.76-2.79, 2 Ge 2.91-2.92
W (0.0487, 0.4230, 0.9165) x8  3 N 2.21-2.23
N (0.0900, 0.2329, 0.5001) x8  4 Hf 2.20-2.24, 2 W 2.21-2.22
N (0.2500, 0.2500, 0.0000) x4  4 Hf 2.22, 2 W 2.23

final energy: -9.44 eV per atom



(9)
Cd2Os2O5 | GGA-PBE | optimized geometry

Unit cell a=3.9948 b=3.9948 c=6.6116 alpha=90.00 beta=90.00 gamma=90.00
Closest atoms and distances in Å follow each position.
Space group P4/mmm (No. 123)
Asymmetric unit:
Cd (0.0000, 0.0000, 0.0000) x1  8 O 2.50
Cd (0.0000, 0.0000, 0.5000) x1  12 O 2.69-2.82
Os (0.5000, 0.5000, 0.1831) x2  5 O 2.02-2.10
O (0.0000, 0.5000, 0.2266) x4  2 Os 2.02
O (0.5000, 0.5000, 0.5000) x1  2 Os 2.10

relative energy among the computed polymorphs: 0 kJ/mol of formula units
final energy: -5.92 eV per atom



(10)
YZrAu2 | GGA-PBE | optimized geometry

Unit cell a=4.8870 b=4.8870 c=8.6071 alpha=90.00 beta=90.00 gamma=120.00
Closest atoms and distances in Å follow each position.
Space group P6_3/mmc (No. 194)
Asymmetric unit:
Y (0.0000, 0.0000, 0.0000) x2  6 Au 2.92
Zr (0.3333, 0.6667, 0.2500) x2  8 Au 2.90-3.15
Au (0.3333, 0.6667, 0.5873) x4  1 Au 2.80, 1 Zr 2.90, 3 Y 2.92

ΔE_f: -0.498 eV per atom
final energy: -5.88 eV per atom



(11)
GdBS3O12 | GGA-PBE | optimized geometry

Unit cell a=13.4033 b=11.3475 c=10.8870 alpha=90.00 beta=93.86 gamma=90.00
Closest atoms and distances in Å follow each position.
Space group C2/c (No. 15)
Asymmetric unit:
Gd (0.1896, 0.0521, 0.1544) x8  8 O 2.24-2.47
B (0.0037, 0.3295, 0.5323) x8  4 O 1.45-1.50
S (0.0808, 0.1516, 0.4192) x8  4 O 1.45-1.55
S (0.1272, 0.4816, 0.0840) x8  4 O 1.44-1.54
S (0.1357, 0.1991, 0.8575) x8  4 O 1.45-1.55
O (0.0209, 0.1231, 0.1258) x8  1 S 1.45
O (0.0292, 0.2445, 0.8793) x8  1 B 1.45, 1 S 1.55
O (0.0397, 0.4344, 0.6033) x8  1 B 1.48, 1 S 1.54
O (0.0782, 0.3615, 0.0626) x8  1 B 1.50, 1 S 1.52
O (0.0845, 0.2805, 0.4664) x8  1 B 1.45, 1 S 1.55
O (0.1153, 0.0774, 0.5222) x8  1 S 1.45
O (0.1182, 0.1022, 0.7713) x8  1 S 1.45
O (0.1530, 0.1545, 0.3250) x8  1 S 1.46
O (0.1790, 0.4835, 0.4775) x8  1 S 1.45
O (0.1820, 0.1609, 0.9761) x8  1 S 1.46
O (0.1841, 0.4710, 0.2007) x8  1 S 1.44
O (0.1903, 0.2973, 0.8068) x8  1 S 1.46

final energy: -6.72 eV per atom



(12)
TbSnTe3Au | GGA-PBE | optimized geometry

Unit cell a=14.5462 b=4.2921 c=11.6016 alpha=90.00 beta=90.00 gamma=90.00
Closest atoms and distances in Å follow each position.
Space group Pnma (No. 62)
Asymmetric unit:
Tb (0.0068, 0.2500, 0.1828) x4  6 Te 3.04-3.15, 2 Au 3.37
Sn (0.2223, 0.2500, 0.4419) x4  6 Te 3.24-3.26
Te (0.1107, 0.2500, 0.9446) x4  3 Tb 3.12-3.15, 2 Sn 3.24
Te (0.1268, 0.7500, 0.6156) x4  3 Au 2.91-2.99, 1 Tb 3.04, 2 Sn 3.25
Te (0.1519, 0.7500, 0.2496) x4  1 Au 2.79, 2 Tb 3.11
Au (0.0067, 0.7500, 0.4066) x4  4 Te 2.79-2.99, 2 Au 3.06

relative energy among the computed polymorphs: 3 kJ/mol of formula units
final energy: -4.21 eV per atom



| no. | calculated volume (Å³ per cell) |
| --- | --- |
| 1 | 335.9 |
| 2 | 381.6 |
| 3 | 167.2 |
| 4 | 362.3 |
| 5 | 228.8 |
| 6 | 139.1 |
| 7 | 45.6 |
| 8 | 698.6 |
| 9 | 105.5 |
| 10 | 178.0 |
| 11 | 1652.1 |
| 12 | 724.3 |